# ZrCd2Cl (PBE-GGA, relaxed)
data_ZrCd2Cl
_chemical_formula_sum 'Zr2 Cd4 Cl2'
_cell_length_a 3.1290
_cell_length_b 5.5408
_cell_length_c 11.1281
_cell_angle_alpha 90.00
_cell_angle_beta 90.00
_cell_angle_gamma 90.00
_space_group_name_H-M_alt 'I m m 2'
_space_group_IT_number 44
_space_group_name_Hall 'I 2 -2'
loop_
_atom_site_label
_atom_site_fract_x
_atom_site_fract_y
_atom_site_fract_z
Zr1 0.0000 0.0000 0.0000
Cd1 0.0000 0.0000 0.5324
Cd2 0.0000 0.5000 0.7402
Cl1 0.0000 0.5000 0.3196
# energy relative to the lowest polymorph listed for this composition = 169 meV per atom
# V = 24.12 A^3/atom
# crystal system = orthorhombic
# E = -3.39 eV/atom
# magnetic moment = 0.00 Bohr magnetons per cell

# ZrCdCl6 (PBE-GGA, relaxed)
data_ZrCdCl6
_chemical_formula_sum 'Zr3 Cd3 Cl18'
_cell_length_a 6.5083
_cell_length_b 6.5083
_cell_length_c 17.6314
_cell_angle_alpha 90.00
_cell_angle_beta 90.00
_cell_angle_gamma 120.00
_space_group_name_H-M_alt 'R -3'
_space_group_IT_number 148
_space_group_name_Hall '-R 3'
loop_
_atom_site_label
_atom_site_fract_x
_atom_site_fract_y
_atom_site_fract_z
Zr1 0.0000 0.0000 0.0000
Cd1 0.0000 0.0000 0.5000
Cl1 0.0058 0.3177 0.0807
# energy relative to the lowest polymorph listed for this composition = 5 meV per atom
# V = 26.95 A^3/atom
# crystal system = trigonal
# E = -4.04 eV/atom
# magnetic moment = 0.00 Bohr magnetons per cell

# ZrCd2Cl (PBE-GGA, relaxed)
data_ZrCd2Cl
_chemical_formula_sum 'Zr4 Cd8 Cl4'
_cell_length_a 7.2476
_cell_length_b 7.2476
_cell_length_c 7.2476
_cell_angle_alpha 90.00
_cell_angle_beta 90.00
_cell_angle_gamma 90.00
_space_group_name_H-M_alt 'F m -3 m'
_space_group_IT_number 225
_space_group_name_Hall '-F 4 2 3'
loop_
_atom_site_label
_atom_site_fract_x
_atom_site_fract_y
_atom_site_fract_z
Zr1 0.0000 0.0000 0.0000
Cd1 0.2500 0.2500 0.2500
Cl1 0.0000 0.0000 0.5000
# energy relative to the lowest polymorph listed for this composition = 835 meV per atom
# V = 23.79 A^3/atom
# crystal system = cubic
# E = -2.73 eV/atom
# magnetic moment = 0.01 Bohr magnetons per cell

# ZrCd2Cl (PBE-GGA, relaxed)
data_ZrCd2Cl
_chemical_formula_sum 'Zr1 Cd2 Cl1'
_cell_length_a 3.1700
_cell_length_b 3.1700
_cell_length_c 9.5440
_cell_angle_alpha 90.00
_cell_angle_beta 90.00
_cell_angle_gamma 90.00
_space_group_name_H-M_alt 'P 4 m m'
_space_group_IT_number 99
_space_group_name_Hall 'P 4 -2'
loop_
_atom_site_label
_atom_site_fract_x
_atom_site_fract_y
_atom_site_fract_z
Zr1 0.0000 0.0000 0.0000
Cd1 0.0000 0.0000 0.4463
Cd2 0.5000 0.5000 0.2228
Cl1 0.5000 0.5000 0.8282
# energy relative to the lowest polymorph listed for this composition = 73 meV per atom
# V = 23.98 A^3/atom
# crystal system = tetragonal
# E = -3.49 eV/atom
# magnetic moment = 0.00 Bohr magnetons per cell